*one*
VASP calculation (PBE-GGA) on crystalline CoWSe2 at its relaxed geometry.

The structure in POSCAR format:
```
CoWSe2
1.0
-3.883 2.193 0.273
-2.509 -0.350 3.680
-0.408 3.485 2.765
Se Co W
2 1 1
direct
0.000 0.000 0.000
0.250 0.250 0.250
0.500 0.500 0.500
0.750 0.750 0.750
```

Properties
**Total magnetization**: 0.00 μB per formula unit


*two*
VASP calculation (PBE-GGA) on crystalline CoWSe2 at its relaxed geometry.

The structure in POSCAR format:
```
CoWSe2
1.0
-0.967 -2.757 1.138
2.676 -0.273 1.612
-2.597 2.892 4.800
Co Se W
1 2 1
direct
0.500 0.500 0.750
0.000 0.000 0.499
0.000 0.000 0.001
0.500 0.500 0.250
```

Properties
**Total magnetization**: 1.18 μB per formula unit


*three*
VASP calculation (PBE-GGA) on crystalline CoWSe2 at its relaxed geometry.

The structure in POSCAR format:
```
CoWSe2
1.0
-2.791 -4.747 0.609
4.783 -2.788 0.185
1.137 -3.177 5.646
Se W Co
4 2 2
direct
0.601 0.125 0.250
0.375 0.399 0.750
0.149 0.625 0.250
0.875 0.851 0.750
0.000 0.000 0.000
0.750 0.250 0.500
0.500 0.500 0.000
0.250 0.750 0.500
```

Properties
**Total magnetization**: 0.00 μB per formula unit


*four*
VASP calculation (PBE-GGA) on crystalline CoWSe2 at its relaxed geometry.

The structure in POSCAR format:
```
CoWSe2
1.0
-6.497 -4.310 -5.564
-4.209 -3.981 -7.628
-4.231 -6.418 -5.714
Se W Co
2 1 1
direct
0.033 0.033 0.033
0.223 0.223 0.223
0.494 0.494 0.494
0.750 0.750 0.750
```

Properties
**Total magnetization**: 0.56 μB per formula unit


Most favorable first, least favorable last: *four*, *two*, *three*, *one*


*one*
VASP calculation (PBE-GGA) on crystalline CoWSe2 at its relaxed geometry.

The structure in POSCAR format:
```
CoWSe2
1.0
-5.367 -1.577 1.378
2.042 -3.821 3.797
-0.763 0.270 2.589
Se Co W
2 1 1
direct
0.500 0.500 0.000
0.000 0.000 0.000
0.000 0.500 0.500
0.500 0.000 0.500
```

Properties
**Total magnetization**: 1.09 μB per formula unit


*two*
VASP calculation (PBE-GGA) on crystalline CoWSe2 at its relaxed geometry.

The structure in POSCAR format:
```
CoWSe2
1.0
3.248 -2.736 1.193
-0.480 -4.354 -0.521
2.337 -2.123 -3.079
Se Co W
2 1 1
direct
0.750 0.750 0.750
0.250 0.250 0.250
0.000 0.000 0.000
0.500 0.500 0.500
```

Properties
**Total magnetization**: 1.77 μB per formula unit


*three*
VASP calculation (PBE-GGA) on crystalline CoWSe2 at its relaxed geometry.

The structure in POSCAR format:
```
CoWSe2
1.0
-1.581 -3.718 1.054
2.031 -1.197 -1.178
1.187 1.331 6.480
Se Co W
2 1 1
direct
0.000 0.990 0.994
0.000 0.510 0.506
0.500 0.750 0.750
0.500 0.250 0.250
```

Properties
**Total magnetization**: 1.59 μB per formula unit


*four*
VASP calculation (PBE-GGA) on crystalline CoWSe2 at its relaxed geometry.

The structure in POSCAR format:
```
CoWSe2
1.0
3.300 0.000 0.000
0.000 3.302 0.000
0.000 0.000 6.934
Se W Co
2 1 1
direct
0.000 0.000 0.883
0.500 0.500 0.360
0.000 0.000 0.535
0.500 0.500 0.722
```

Properties
**Total magnetization**: 0.00 μB per formula unit


Most favorable first, least favorable last: *four*, *two*, *one*, *three*


*one*
VASP calculation (PBE-GGA) on crystalline CoWSe2 at its relaxed geometry.

The structure in POSCAR format:
```
CoWSe2
1.0
5.209 -0.038 0.000
2.600 4.514 0.000
-3.905 -2.238 2.624
Co Se W
1 2 1
direct
0.750 0.250 0.500
0.250 0.750 0.500
0.000 0.000 0.000
0.500 0.500 0.000
```

Properties
**Total magnetization**: 1.30 μB per formula unit


*two*
VASP calculation (PBE-GGA) on crystalline CoWSe2 at its relaxed geometry.

The structure in POSCAR format:
```
CoWSe2
1.0
-2.031 -6.856 -2.492
-1.200 -7.460 0.497
-4.095 -6.368 -0.149
Se W Co
2 1 1
direct
0.498 0.498 0.498
0.002 0.002 0.002
0.250 0.250 0.250
0.750 0.750 0.750
```

Properties
**Total magnetization**: 1.31 μB per formula unit


Most favorable first, least favorable last: *two*, *one*


*one*
VASP calculation (PBE-GGA) on crystalline CoWSe2 at its relaxed geometry.

The structure in POSCAR format:
```
CoWSe2
1.0
7.005 0.051 -0.009
5.395 4.469 0.009
-6.160 -2.369 2.348
Se Co W
2 1 1
direct
0.023 0.023 0.000
0.777 0.277 0.500
0.273 0.773 0.500
0.427 0.427 0.000
```

Properties
**Total magnetization**: 0.34 μB per formula unit


*two*
VASP calculation (PBE-GGA) on crystalline CoWSe2 at its relaxed geometry.

The structure in POSCAR format:
```
CoWSe2
1.0
3.114 -0.018 0.000
-1.505 2.726 0.000
0.000 0.000 7.881
W Se Co
1 2 1
direct
0.500 0.500 0.250
0.000 0.000 0.989
0.000 0.000 0.511
0.500 0.500 0.750
```

Properties
**Total magnetization**: 1.76 μB per formula unit


*three*
VASP calculation (PBE-GGA) on crystalline CoWSe2 at its relaxed geometry.

The structure in POSCAR format:
```
CoWSe2
1.0
7.408 0.172 -0.059
5.537 4.925 0.059
-6.396 -2.742 2.547
Se W Co
2 1 1
direct
0.123 0.123 0.000
0.377 0.377 0.000
0.750 0.250 0.500
0.250 0.750 0.500
```

Properties
**Total magnetization**: 1.04 μB per formula unit


*four*
VASP calculation (PBE-GGA) on crystalline CoWSe2 at its relaxed geometry.

The structure in POSCAR format:
```
CoWSe2
1.0
4.355 0.007 -0.016
3.197 2.958 -0.016
0.451 0.177 5.104
W Co Se
1 1 2
direct
0.750 0.750 0.750
0.250 0.250 0.250
0.037 0.037 0.986
0.463 0.463 0.514
```

Properties
**Total magnetization**: 0.97 μB per formula unit


Most favorable first, least favorable last: *three*, *one*, *four*, *two*


*one*
VASP calculation (PBE-GGA) on crystalline CoWSe2 at its relaxed geometry.

The structure in POSCAR format:
```
CoWSe2
1.0
-0.856 6.743 4.762
-0.501 4.458 6.983
2.079 5.763 5.599
Co Se W
1 2 1
direct
0.000 0.000 0.000
0.906 0.906 0.906
0.094 0.094 0.094
0.500 0.500 0.500
```

Properties
**Total magnetization**: 1.31 μB per formula unit


*two*
VASP calculation (PBE-GGA) on crystalline CoWSe2 at its relaxed geometry.

The structure in POSCAR format:
```
CoWSe2
1.0
-0.224 -3.496 -0.159
3.656 -0.200 -0.753
2.218 -0.433 6.383
Se W Co
2 1 1
direct
0.000 0.898 0.879
0.500 0.300 0.360
0.000 0.424 0.612
0.500 0.878 0.649
```

Properties
**Total magnetization**: 0.18 μB per formula unit


*three*
VASP calculation (PBE-GGA) on crystalline CoWSe2 at its relaxed geometry.

The structure in POSCAR format:
```
CoWSe2
1.0
-2.533 -0.847 -2.671
1.103 -1.741 -3.166
-1.101 -6.132 2.983
Se W Co
2 1 1
direct
0.125 0.125 0.105
0.791 0.791 0.609
0.458 0.458 0.327
0.125 0.125 0.458
```

Properties
**Total magnetization**: 0.57 μB per formula unit


Most favorable first, least favorable last: *three*, *two*, *one*